w | {"formula": "Li3AsF", "functional": "PBE", "state": "relaxed", "lattice_angstrom": [[4.454, 0.000, 0.000], [-2.227, 5.759, 0.368], [0.000, 0.005, 5.781]], "species": ["Li", "Li", "Li", "Li", "Li", "Li", "As", "As", "F", "F"], "fractional_positions": [[0.056, 0.111, 0.183], [0.944, 0.889, 0.817], [0.608, 0.215, 0.852], [0.392, 0.785, 0.148], [0.823, 0.647, 0.435], [0.177, 0.353, 0.565], [0.403, 0.807, 0.624], [0.597, 0.193, 0.376], [0.109, 0.218, 0.867], [0.891, 0.782, 0.133]]}

x | {"formula": "Li3AsF", "functional": "PBE", "state": "relaxed", "dos_at_fermi_per_ev_fu": 10.8, "lattice_angstrom": [[-4.363, 1.946, -0.759], [-0.929, -3.382, -3.331], [-1.870, -2.859, 3.424]], "species": ["As", "Li", "Li", "Li", "F"], "fractional_positions": [[0.000, 0.000, 0.000], [0.000, 0.500, 0.000], [0.000, 0.000, 0.500], [0.500, 0.000, 0.000], [0.500, 0.500, 0.500]]}

y | {"formula": "Li3AsF", "functional": "PBE", "state": "relaxed", "dos_at_fermi_per_ev_fu": 2.6, "lattice_angstrom": [[4.004, 0.000, 0.000], [0.000, 4.004, 0.000], [0.000, 0.000, 4.004]], "species": ["As", "Li", "Li", "Li", "F"], "fractional_positions": [[0.500, 0.500, 0.500], [0.000, 0.500, 0.000], [0.000, 0.000, 0.500], [0.500, 0.000, 0.000], [0.000, 0.000, 0.000]]}

Relative energies, in meV/atom, with the most stable structure set to zero: w 0; x 775; y 24.

w | {"formula": "LiAs3F", "functional": "PBE", "state": "relaxed", "dos_at_fermi_per_ev_fu": 2.5, "lattice_angstrom": [[-0.070, 2.617, 3.756], [-3.660, -2.288, 1.526], [2.749, -2.979, 2.128]], "species": ["As", "As", "As", "Li", "F"], "fractional_positions": [[0.000, 0.500, 0.000], [0.000, 0.000, 0.500], [0.500, 0.000, 0.000], [0.500, 0.500, 0.500], [0.000, 0.000, 0.000]]}

x | {"formula": "LiAs3F", "functional": "PBE", "state": "relaxed", "dos_at_fermi_per_ev_fu": 3.5, "lattice_angstrom": [[4.476, 0.000, 0.000], [0.000, 4.476, 0.000], [0.000, 0.000, 4.476]], "species": ["As", "As", "As", "Li", "F"], "fractional_positions": [[0.000, 0.500, 0.000], [0.000, 0.000, 0.500], [0.500, 0.000, 0.000], [0.000, 0.000, 0.000], [0.500, 0.500, 0.500]]}

Relative energies, in meV/atom, with the most stable structure set to zero: w 0; x 186.

w | {"formula": "LiAs2F", "functional": "PBE", "state": "relaxed", "dos_at_fermi_per_ev_fu": 0.9, "lattice_angstrom": [[3.541, 0.000, 0.000], [0.000, 3.541, 0.000], [1.770, 1.770, 12.542]], "species": ["As", "As", "As", "As", "Li", "Li", "F", "F"], "fractional_positions": [[0.615, 0.125, 0.250], [0.135, 0.625, 0.250], [0.375, 0.385, 0.750], [0.875, 0.865, 0.750], [0.500, 0.500, 0.000], [0.250, 0.750, 0.500], [0.000, 0.000, 0.000], [0.750, 0.250, 0.500]]}

x | {"formula": "LiAs2F", "functional": "PBE", "state": "relaxed", "dos_at_fermi_per_ev_fu": 0.2, "lattice_angstrom": [[0.000, 3.096, 3.096], [3.096, 0.000, 3.096], [3.096, 3.096, 0.000]], "species": ["As", "As", "Li", "F"], "fractional_positions": [[0.250, 0.250, 0.250], [0.750, 0.750, 0.750], [0.000, 0.000, 0.000], [0.500, 0.500, 0.500]]}

Relative energies, in meV/atom, with the most stable structure set to zero: w 0; x 491.

w | {"formula": "LiAs2F2", "functional": "PBE", "state": "relaxed", "dos_at_fermi_per_ev_fu": 2.3, "lattice_angstrom": [[3.547, 0.000, 0.000], [0.000, 3.547, 0.000], [1.773, 1.773, 6.853]], "species": ["As", "As", "Li", "F", "F"], "fractional_positions": [[0.750, 0.250, 0.500], [0.250, 0.750, 0.500], [0.000, 0.000, 0.000], [0.404, 0.404, 0.191], [0.596, 0.596, 0.809]]}

x | {"formula": "LiAs2F2", "functional": "PBE", "state": "relaxed", "dos_at_fermi_per_ev_fu": 1.2, "lattice_angstrom": [[-4.183, -0.897, -6.305], [-6.253, -0.852, 4.269], [-0.420, 2.612, -0.093]], "species": ["As", "As", "As", "As", "Li", "Li", "F", "F", "F", "F"], "fractional_positions": [[0.223, 0.723, 0.500], [0.723, 0.777, 0.500], [0.777, 0.277, 0.500], [0.277, 0.223, 0.500], [0.000, 0.000, 0.000], [0.500, 0.500, 0.000], [0.383, 0.883, 0.000], [0.883, 0.617, 0.000], [0.617, 0.117, 0.000], [0.117, 0.383, 0.000]]}

Relative energies, in meV/atom, with the most stable structure set to zero: w 0; x 204.

w | {"formula": "LiAsNF2", "functional": "PBE", "state": "relaxed", "dos_at_fermi_per_ev_fu": 0.4, "lattice_angstrom": [[3.470, 0.000, 0.000], [0.000, 3.470, 0.000], [0.000, 0.000, 4.304]], "species": ["As", "N", "Li", "F", "F"], "fractional_positions": [[0.500, 0.500, 0.500], [0.000, 0.000, 0.500], [0.000, 0.000, 0.000], [0.000, 0.500, 0.000], [0.500, 0.000, 0.000]]}

x | {"formula": "LiAsNF2", "functional": "PBE", "state": "relaxed", "dos_at_fermi_per_ev_fu": 0.4, "lattice_angstrom": [[4.321, 0.000, 0.000], [0.000, 4.321, 0.000], [0.000, 0.000, 3.659]], "species": ["As", "N", "Li", "F", "F"], "fractional_positions": [[0.000, 0.000, 0.000], [0.000, 0.000, 0.500], [0.500, 0.500, 0.500], [0.000, 0.500, 0.000], [0.500, 0.000, 0.000]]}

Relative energies, in meV/atom, with the most stable structure set to zero: w 348; x 0.

w | {"formula": "LiAsOF2", "functional": "PBE", "state": "relaxed", "dos_at_fermi_per_ev_fu": 0.0, "lattice_angstrom": [[-0.620, -2.858, 3.154], [4.077, 0.516, 1.269], [-1.116, 2.900, 2.408]], "species": ["As", "Li", "O", "F", "F"], "fractional_positions": [[0.000, 0.000, 0.000], [0.500, 0.500, 0.500], [0.000, 0.000, 0.500], [0.000, 0.500, 0.000], [0.500, 0.000, 0.000]]}

x | {"formula": "LiAsOF2", "functional": "PBE", "state": "relaxed", "dos_at_fermi_per_ev_fu": 0.0, "lattice_angstrom": [[3.458, 0.000, 0.000], [0.000, 3.458, 0.000], [0.000, 0.000, 4.072]], "species": ["As", "Li", "O", "F", "F"], "fractional_positions": [[0.500, 0.500, 0.500], [0.000, 0.000, 0.000], [0.000, 0.000, 0.500], [0.000, 0.500, 0.000], [0.500, 0.000, 0.000]]}

Relative energies, in meV/atom, with the most stable structure set to zero: w 0; x 288.